! IrSeI | the Open Quantum Materials Database | PBE | optimized geometry; values from VASP
! Final energy = -4.826 eV/atom
&SYSTEM
  ibrav = 0, nat = 12, ntyp = 3
/
ATOMIC_SPECIES
Ir 192.22 Ir.upf
Se 78.96 Se.upf
I 126.90 I.upf
CELL_PARAMETERS angstrom
0.000 5.487 5.487
5.487 0.000 5.487
5.487 5.487 0.000
ATOMIC_POSITIONS crystal
Ir 0.382 0.382 0.382
Ir 0.382 0.382 0.855
Ir 0.382 0.855 0.382
Ir 0.855 0.382 0.382
Se 0.184 0.605 0.605
Se 0.605 0.184 0.605
Se 0.605 0.605 0.184
Se 0.605 0.605 0.605
I 0.130 0.130 0.130
I 0.130 0.130 0.609
I 0.130 0.609 0.130
I 0.609 0.130 0.130



! ZnHg2Pd | the Open Quantum Materials Database | PBE | optimized geometry; values from VASP
! Final energy = -1.739 eV/atom
&SYSTEM
  ibrav = 0, nat = 4, ntyp = 3
/
ATOMIC_SPECIES
Zn 65.41 Zn.upf
Hg 200.59 Hg.upf
Pd 106.42 Pd.upf
CELL_PARAMETERS angstrom
0.000 3.336 3.336
3.336 0.000 3.336
3.336 3.336 0.000
ATOMIC_POSITIONS crystal
Zn 0.000 0.000 0.000
Hg 0.500 0.500 0.500
Hg 0.750 0.750 0.750
Pd 0.250 0.250 0.250



! HoUBr3N | the Open Quantum Materials Database | PBE | optimized geometry; values from VASP
! Final energy = -6.410 eV/atom
&SYSTEM
  ibrav = 0, nat = 12, ntyp = 4
/
ATOMIC_SPECIES
Ho 164.93 Ho.upf
U 238.03 U.upf
Br 79.90 Br.upf
N 14.01 N.upf
CELL_PARAMETERS angstrom
9.083 -1.922 0.000
9.083 1.922 0.000
-6.553 0.000 9.569
ATOMIC_POSITIONS crystal
Ho 0.075 0.075 0.460
Ho 0.925 0.925 0.540
U 0.366 0.366 0.220
U 0.634 0.634 0.780
Br 0.164 0.164 0.011
Br 0.282 0.282 0.384
Br 0.457 0.457 0.751
Br 0.543 0.543 0.249
Br 0.718 0.718 0.616
Br 0.836 0.836 0.989
N 0.077 0.077 0.658
N 0.923 0.923 0.342



! Li2Ta | the Open Quantum Materials Database | PBE | optimized geometry; values from VASP
! Distance to the lowest polymorph of the same formula = 1.961 eV/atom
! Final energy = -2.708 eV/atom
&SYSTEM
  ibrav = 0, nat = 6, ntyp = 2
/
ATOMIC_SPECIES
Li 6.94 Li.upf
Ta 180.95 Ta.upf
CELL_PARAMETERS angstrom
0.000 6.392 6.392
6.392 0.000 6.392
6.392 6.392 0.000
ATOMIC_POSITIONS crystal
Li 0.000 0.000 0.000
Li 0.000 0.000 0.500
Li 0.000 0.500 0.000
Li 0.500 0.000 0.000
Ta 0.125 0.125 0.125
Ta 0.875 0.875 0.875



! Pm4BiS3 | the Open Quantum Materials Database | PBE | optimized geometry; values from VASP
! Final energy = -6.044 eV/atom
&SYSTEM
  ibrav = 0, nat = 8, ntyp = 3
/
ATOMIC_SPECIES
Pm 145.00 Pm.upf
Bi 208.98 Bi.upf
S 32.06 S.upf
CELL_PARAMETERS angstrom
5.939 0.000 0.000
0.000 5.939 0.000
0.000 0.000 5.939
ATOMIC_POSITIONS crystal
Pm 0.000 0.000 0.000
Pm 0.000 0.500 0.500
Pm 0.500 0.000 0.500
Pm 0.500 0.500 0.000
Bi 0.500 0.500 0.500
S 0.000 0.000 0.500
S 0.000 0.500 0.000
S 0.500 0.000 0.000



! Li2AlZn2GaAu2 | the Open Quantum Materials Database | PBE | optimized geometry; values from VASP
! Final energy = -2.834 eV/atom
&SYSTEM
  ibrav = 0, nat = 8, ntyp = 5
/
ATOMIC_SPECIES
Li 6.94 Li.upf
Al 26.98 Al.upf
Zn 65.41 Zn.upf
Ga 69.72 Ga.upf
Au 196.97 Au.upf
CELL_PARAMETERS angstrom
4.438 0.000 0.000
0.000 4.438 0.000
0.000 0.000 6.176
ATOMIC_POSITIONS crystal
Li 0.000 0.500 0.245
Li 0.500 0.000 0.755
Al 0.000 0.000 0.500
Zn 0.000 0.000 0.000
Zn 0.500 0.500 0.500
Ga 0.500 0.500 0.000
Au 0.000 0.500 0.742
Au 0.500 0.000 0.258